Entry from the Alexandria database: a geometry-optimized ScPt2 structure (PBE-GGA).

The space group is C2/m (No. 12) and the conventional cell measures 12.3126, 3.0900 and 5.6578 Å, with angles of 90.00, 106.60 and 90.00 degrees. The distinct sites, in fractional coordinates, are Sc at (0.1488, 0.0000, 0.1032), Pt at (0.0081, 0.5000, 0.7456) and Pt at (0.1769, 0.0000, 0.6137).

Its calculated formation energy is -0.932 eV per atom.

---

Entry from the Alexandria database: a geometry-optimized ScPt4 structure (PBE-GGA).

The space group is Imma (No. 74) and the conventional cell measures 4.1466, 5.6114 and 14.0699 Å, with angles of 90.00, 90.00 and 90.00 degrees. The distinct sites, in fractional coordinates, are Sc at (0.0000, 0.2500, 0.1056), Pt at (0.0000, 0.0000, 0.5000), Pt at (0.0000, 0.0054, 0.6922) and Pt at (0.0000, 0.2500, 0.8997).

Its calculated formation energy is -0.796 eV per atom.

---

Entry from the Alexandria database: a geometry-optimized ScPt structure (PBE-GGA).

The space group is R-3m (No. 166, hexagonal axes) and the conventional cell measures 4.4514, 4.4514 and 14.4455 Å, with angles of 90.00, 90.00 and 120.00 degrees. The distinct sites, in fractional coordinates, are Sc at (0.0000, 0.0000, 0.1029) and Pt at (0.0000, 0.0000, 0.2904).

Its calculated formation energy is -0.917 eV per atom.

---

Entry from the Alexandria database: a geometry-optimized ScPt6 structure (PBE-GGA).

The space group is Im-3m (No. 229) and the conventional cell measures 7.0023, 7.0023 and 7.0023 Å, with angles of 90.00, 90.00 and 90.00 degrees. The distinct sites, in fractional coordinates, are Sc at (0.0000, 0.0000, 0.0000) and Pt at (0.0000, 0.2500, 0.5000).

Its calculated formation energy is 0.635 eV per atom.

---

Entry from the Alexandria database: a geometry-optimized Sc5Pt3 structure (PBE-GGA).

The space group is P4/ncc (No. 130, origin choice 2) and the conventional cell measures 10.5319, 10.5319 and 5.7940 Å, with angles of 90.00, 90.00 and 90.00 degrees. The distinct sites, in fractional coordinates, are Sc at (0.0381, 0.1643, 0.1442), Sc at (0.2500, 0.7500, 0.0000), Pt at (0.0936, 0.5936, 0.7500) and Pt at (0.2500, 0.2500, 0.3995).

Its calculated formation energy is -1.031 eV per atom.

---

Entry from the Alexandria database: a geometry-optimized ScPtSe structure (PBE-GGA).

The space group is P3m1 (No. 156) and the conventional cell measures 4.2881, 4.2881 and 3.5257 Å, with angles of 90.00, 90.00 and 120.00 degrees. The distinct sites, in fractional coordinates, are Sc at (0.0000, 0.0000, 0.0000), Pt at (0.3333, 0.6667, 0.5440) and Se at (0.6667, 0.3333, 0.4665).

For the uncorrected formation energy, the calculation gives -916 meV/atom.

---

Entry from the Alexandria database: a geometry-optimized Sc6PtSe5 structure (PBE-GGA).

The space group is C2/m (No. 12) and the conventional cell measures 6.7381, 11.6758 and 6.7308 Å, with angles of 90.00, 109.61 and 90.00 degrees. The distinct sites, in fractional coordinates, are Sc at (0.2389, 0.1610, 0.2390), Sc at (0.2401, 0.0000, 0.7562), Pt at (0.0000, 0.0000, 0.0000), Se at (0.0000, 0.1730, 0.5000), Se at (0.0000, 0.3347, 0.0000) and Se at (0.0000, 0.5000, 0.5000).

For the uncorrected formation energy, the calculation gives -1541 meV/atom.

---

Entry from the Alexandria database: a geometry-optimized Sc2PtSe structure (PBE-GGA).

The space group is Immm (No. 71) and the conventional cell measures 4.1600, 5.2524 and 7.0815 Å, with angles of 90.00, 90.00 and 90.00 degrees. The distinct sites, in fractional coordinates, are Sc at (0.0000, 0.0000, 0.2471), Pt at (0.0000, 0.5000, 0.0000) and Se at (0.0000, 0.5000, 0.5000).

For the uncorrected formation energy, the calculation gives -1041 meV/atom.

---

Entry from the Alexandria database: a geometry-optimized Sc2PtSe structure (PBE-GGA).

The space group is P2/m (No. 10) and the conventional cell measures 3.3763, 3.3906 and 6.6063 Å, with angles of 90.00, 90.82 and 90.00 degrees. The distinct sites, in fractional coordinates, are Sc at (0.0029, 0.0000, 0.2423), Pt at (0.5000, 0.5000, 0.0000) and Se at (0.5000, 0.5000, 0.5000).

For the uncorrected formation energy, the calculation gives -1173 meV/atom.

---

Entry from the Alexandria database: a geometry-optimized Sc2PtSe structure (PBE-GGA).

The space group is I-42d (No. 122) and the conventional cell measures 6.9834, 6.9834 and 7.3929 Å, with angles of 90.00, 90.00 and 90.00 degrees. The distinct sites, in fractional coordinates, are Sc at (0.2427, 0.2500, 0.1250), Pt at (0.0000, 0.0000, 0.0000) and Se at (0.0000, 0.0000, 0.5000).

For the uncorrected formation energy, the calculation gives -991 meV/atom.

---

Entry from the Alexandria database: a geometry-optimized Sc2PtSe structure (PBE-GGA).

The space group is R3m (No. 160, hexagonal axes) and the conventional cell measures 3.8438, 3.8438 and 19.8184 Å, with angles of 90.00, 90.00 and 120.00 degrees. The distinct sites, in fractional coordinates, are Sc at (0.0000, 0.0000, 0.0000), Sc at (0.0000, 0.0000, 0.1825), Pt at (0.0000, 0.0000, 0.5906) and Se at (0.0000, 0.0000, 0.4243).

For the uncorrected formation energy, the calculation gives -1290 meV/atom.

---

Entry from the Alexandria database: a geometry-optimized ScPtSe structure (PBE-GGA).

The space group is F-43m (No. 216) and the conventional cell measures 6.3362, 6.3362 and 6.3362 Å, with angles of 90.00, 90.00 and 90.00 degrees. The distinct sites, in fractional coordinates, are Sc at (0.0000, 0.0000, 0.0000), Pt at (0.2500, 0.2500, 0.7500) and Se at (0.2500, 0.2500, 0.2500).

For the uncorrected formation energy, the calculation gives -845 meV/atom.

---

Repeat the second record exactly.
Entry from the Alexandria database: a geometry-optimized ScPt4 structure (PBE-GGA).

The space group is Imma (No. 74) and the conventional cell measures 4.1466, 5.6114 and 14.0699 Å, with angles of 90.00, 90.00 and 90.00 degrees. The distinct sites, in fractional coordinates, are Sc at (0.0000, 0.2500, 0.1056), Pt at (0.0000, 0.0000, 0.5000), Pt at (0.0000, 0.0054, 0.6922) and Pt at (0.0000, 0.2500, 0.8997).

Its calculated formation energy is -0.796 eV per atom.

---

- Number 6 is which compound?
  ScPtSe